Entry 1:
Computed, not measured: a relaxed structure of AgOsCl at the PBE level of DFT.

Structure (extended XYZ):
```
12
Lattice="2.832 0.000 0.000 0.000 5.244 0.000 0.000 0.000 14.009" Properties=species:S:1:pos:R:3 pbc="T T T"
Ag 0.000 0.000 0.000
Ag 0.000 2.622 7.004
Ag 1.416 0.000 7.004
Ag 1.416 2.622 0.000
Os 0.000 0.000 9.390
Os 0.000 2.622 2.386
Os 1.416 0.000 2.386
Os 1.416 2.622 9.390
Cl 0.000 0.000 4.303
Cl 0.000 2.622 11.307
Cl 1.416 0.000 11.307
Cl 1.416 2.622 4.303
```

The energy relative to the elements, uncorrected is 0.749 eV/atom. The space group is Fmm2, No. 42. Its spin magnetization is 0.00 μB per cell. The value obtained for the calculated volume is 17.33 Å³/atom.


Entry 2:
Computed, not measured: a relaxed structure of Ag2OsCl at the PBE level of DFT.

Structure (extended XYZ):
```
4
Lattice="2.831 0.000 0.000 0.000 4.765 0.000 0.000 0.000 5.074" Properties=species:S:1:pos:R:3 pbc="T T T"
Ag 0.000 0.000 0.000
Ag 1.415 2.382 0.000
Os 0.000 2.382 2.537
Cl 1.415 0.000 2.537
```

The energy relative to the elements, uncorrected is 0.908 eV/atom. The space group is Pmmm, No. 47. Its spin magnetization is 0.00 μB per cell. The value obtained for the calculated volume is 17.11 Å³/atom.


Entry 3:
Computed, not measured: a relaxed structure of Ag2OsCl at the PBE level of DFT.

Structure (extended XYZ):
```
16
Lattice="6.567 0.000 0.000 0.000 6.567 0.000 0.000 0.000 6.567" Properties=species:S:1:pos:R:3 pbc="T T T"
Ag 0.000 0.000 0.000
Ag 0.000 3.284 3.284
Ag 1.642 1.642 1.642
Ag 1.642 4.926 4.926
Ag 3.284 0.000 3.284
Ag 3.284 3.284 0.000
Ag 4.926 1.642 4.926
Ag 4.926 4.926 1.642
Os 1.642 1.642 4.926
Os 1.642 4.926 1.642
Os 4.926 1.642 1.642
Os 4.926 4.926 4.926
Cl 0.000 0.000 3.284
Cl 0.000 3.284 0.000
Cl 3.284 0.000 0.000
Cl 3.284 3.284 3.284
```

The energy relative to the elements, uncorrected is 1.116 eV/atom. The space group is F-43m, No. 216. Its spin magnetization is 9.52 μB per cell. The value obtained for the calculated volume is 17.70 Å³/atom.


Entry 4:
Computed, not measured: a relaxed structure of AgOs2Cl at the PBE level of DFT.

Structure (extended XYZ):
```
8
Lattice="2.748 0.000 0.000 0.000 4.906 0.000 0.000 0.000 9.330" Properties=species:S:1:pos:R:3 pbc="T T T"
Ag 0.000 0.000 0.000
Ag 1.374 2.453 0.000
Os 0.000 2.453 2.472
Os 0.000 2.453 6.858
Os 1.374 0.000 2.472
Os 1.374 0.000 6.858
Cl 0.000 0.000 4.665
Cl 1.374 2.453 4.665
```

The energy relative to the elements, uncorrected is 1.061 eV/atom. The space group is Cmmm, No. 65. Its spin magnetization is 0.00 μB per cell. The value obtained for the calculated volume is 15.72 Å³/atom.


Entry 5:
Computed, not measured: a relaxed structure of AgOs2Cl at the PBE level of DFT.

Structure (extended XYZ):
```
4
Lattice="2.898 0.000 0.000 0.000 2.899 0.000 -0.043 0.000 8.287" Properties=species:S:1:pos:R:3 pbc="T T T"
Ag 0.000 0.000 0.000
Os 1.405 1.450 6.193
Os 2.854 0.000 4.634
Cl 2.854 1.450 2.646
```

The energy relative to the elements, uncorrected is 0.345 eV/atom. The space group is Pm, No. 6. Its spin magnetization is 0.00 μB per cell. The value obtained for the calculated volume is 17.41 Å³/atom.


Entry 6:
Computed, not measured: a relaxed structure of AgOs2Cl at the PBE level of DFT.

Structure (extended XYZ):
```
12
Lattice="2.816 0.000 0.000 -1.408 2.439 0.000 0.000 0.000 26.723" Properties=species:S:1:pos:R:3 pbc="T T T"
Ag 0.000 0.000 0.000
Ag 0.000 1.626 17.815
Ag 1.408 0.813 8.908
Os 0.000 0.000 6.542
Os 0.000 0.000 20.181
Os 0.000 1.626 11.273
Os 0.000 1.626 24.357
Os 1.408 0.813 2.366
Os 1.408 0.813 15.449
Cl 0.000 0.000 13.361
Cl 0.000 1.626 4.454
Cl 1.408 0.813 22.269
```

The energy relative to the elements, uncorrected is 0.992 eV/atom. The space group is R-3m, No. 166. Its spin magnetization is 0.00 μB per cell. The value obtained for the calculated volume is 15.29 Å³/atom.


Entry 7:
Computed, not measured: a relaxed structure of AgOs2Cl at the PBE level of DFT.

Structure (extended XYZ):
```
16
Lattice="7.013 0.000 0.000 0.000 7.013 0.000 0.000 0.000 5.312" Properties=species:S:1:pos:R:3 pbc="T T T"
Ag 0.000 0.000 0.000
Ag 0.000 3.507 1.328
Ag 3.507 0.000 3.984
Ag 3.507 3.507 2.656
Os 1.318 1.753 3.320
Os 1.753 4.825 4.648
Os 1.753 5.695 1.992
Os 2.188 1.753 0.664
Os 4.825 5.260 0.664
Os 5.260 1.318 1.992
Os 5.260 2.188 4.648
Os 5.695 5.260 3.320
Cl 0.000 0.000 2.656
Cl 0.000 3.507 3.984
Cl 3.507 0.000 1.328
Cl 3.507 3.507 0.000
```

The energy relative to the elements, uncorrected is 1.577 eV/atom. The space group is I-42d, No. 122. Its spin magnetization is 0.00 μB per cell. The value obtained for the calculated volume is 16.33 Å³/atom.


Entry 8:
Computed, not measured: a relaxed structure of Ag2OsCl at the PBE level of DFT.

Structure (extended XYZ):
```
8
Lattice="2.952 0.000 0.000 0.000 5.028 0.000 0.000 0.000 9.240" Properties=species:S:1:pos:R:3 pbc="T T T"
Ag 0.000 0.000 2.267
Ag 0.000 0.000 6.973
Ag 1.476 2.514 2.267
Ag 1.476 2.514 6.973
Os 0.000 2.514 4.620
Os 1.476 0.000 4.620
Cl 0.000 2.514 0.000
Cl 1.476 0.000 0.000
```

The energy relative to the elements, uncorrected is 0.560 eV/atom. The space group is Cmmm, No. 65. Its spin magnetization is 1.87 μB per cell. The value obtained for the calculated volume is 17.15 Å³/atom.


Entry 9:
Computed, not measured: a relaxed structure of AgOs2Cl at the PBE level of DFT.

Structure (extended XYZ):
```
8
Lattice="6.891 0.000 0.000 0.000 2.854 0.000 -2.553 0.000 7.813" Properties=species:S:1:pos:R:3 pbc="T T T"
Ag 0.000 0.000 0.000
Ag 3.445 1.427 0.000
Os -0.470 0.000 5.755
Os 1.428 0.000 4.385
Os 2.975 1.427 5.755
Os 4.873 1.427 4.385
Cl 1.064 1.427 2.323
Cl 4.510 0.000 2.323
```

The energy relative to the elements, uncorrected is 0.605 eV/atom. The space group is Cm, No. 8. Its spin magnetization is 0.00 μB per cell. The value obtained for the calculated volume is 19.21 Å³/atom.


Entry 10:
Computed, not measured: a relaxed structure of Ag6OsCl12 at the PBE level of DFT.

Structure (extended XYZ):
```
19
Lattice="5.635 3.253 4.486 -5.635 3.253 4.486 0.000 -6.507 4.486" Properties=species:S:1:pos:R:3 pbc="T T T"
Ag -2.899 -2.960 6.939
Ag -4.013 1.031 6.520
Ag 1.114 -3.991 6.520
Ag -1.114 3.991 6.939
Ag 4.013 -1.031 6.939
Ag 2.899 2.960 6.520
Os 0.000 0.000 6.730
Cl -4.597 -1.224 7.454
Cl -1.238 -4.593 6.005
Cl -1.858 -0.417 5.399
Cl -3.359 3.369 6.005
Cl 1.290 -1.401 5.399
Cl -0.568 -1.818 8.061
Cl 0.568 1.818 5.399
Cl -1.290 1.401 8.061
Cl 3.359 -3.369 7.454
Cl 1.858 0.417 8.061
Cl 1.238 4.593 7.454
Cl 4.597 1.224 6.005
```

The energy relative to the elements, uncorrected is -0.430 eV/atom. The space group is R-3, No. 148. Its spin magnetization is 2.16 μB per cell. The value obtained for the calculated volume is 25.97 Å³/atom.


Entry 11:
Computed, not measured: a relaxed structure of AgOsCl3 at the PBE level of DFT.

Structure (extended XYZ):
```
5
Lattice="4.825 0.000 0.000 0.000 4.825 0.000 0.000 0.000 4.825" Properties=species:S:1:pos:R:3 pbc="T T T"
Ag 0.000 0.000 0.000
Os 2.412 2.412 2.412
Cl 0.000 2.412 2.412
Cl 2.412 0.000 2.412
Cl 2.412 2.412 0.000
```

The energy relative to the elements, uncorrected is 0.333 eV/atom. The space group is Pm-3m, No. 221. Its spin magnetization is 1.32 μB per cell. The value obtained for the calculated volume is 22.46 Å³/atom.


Entry 12:
Computed, not measured: a relaxed structure of Ag2OsCl at the PBE level of DFT.

Structure (extended XYZ):
```
8
Lattice="5.403 0.000 0.000 0.000 9.176 0.000 0.000 0.000 2.763" Properties=species:S:1:pos:R:3 pbc="T T T"
Ag 1.351 2.294 0.000
Ag 1.351 6.882 0.000
Ag 4.053 2.294 0.000
Ag 4.053 6.882 0.000
Os 0.000 0.000 1.381
Os 2.702 4.588 1.381
Cl 0.000 4.588 1.381
Cl 2.702 0.000 1.381
```

The energy relative to the elements, uncorrected is 0.782 eV/atom. The space group is Cmmm, No. 65. Its spin magnetization is 0.12 μB per cell. The value obtained for the calculated volume is 17.12 Å³/atom.


Entry 13:
Computed, not measured: a relaxed structure of Ag2OsCl at the PBE level of DFT.

Structure (extended XYZ):
```
4
Lattice="4.179 0.000 0.000 0.000 4.179 0.000 0.000 0.000 4.161" Properties=species:S:1:pos:R:3 pbc="T T T"
Ag 0.000 2.089 0.000
Ag 2.089 0.000 0.000
Os 0.000 0.000 2.080
Cl 2.089 2.089 2.080
```

The energy relative to the elements, uncorrected is 1.136 eV/atom. The space group is P4/mmm, No. 123. Its spin magnetization is 2.47 μB per cell. The value obtained for the calculated volume is 18.16 Å³/atom.


Entry 14:
Computed, not measured: a relaxed structure of AgOs2Cl at the PBE level of DFT.

Structure (extended XYZ):
```
4
Lattice="2.886 0.000 0.000 0.000 2.886 0.000 0.000 0.000 8.244" Properties=species:S:1:pos:R:3 pbc="T T T"
Ag 0.000 0.000 0.000
Os 0.000 0.000 4.582
Os 1.443 1.443 6.150
Cl 1.443 1.443 2.734
```

The energy relative to the elements, uncorrected is 0.454 eV/atom. The space group is P4mm, No. 99. Its spin magnetization is 0.00 μB per cell. The value obtained for the calculated volume is 17.17 Å³/atom.


Entry 15:
Computed, not measured: a relaxed structure of Ag2OsCl7 at the PBE level of DFT.

Structure (extended XYZ):
```
20
Lattice="8.199 -3.804 0.000 8.199 3.804 0.000 -6.992 0.000 9.628" Properties=species:S:1:pos:R:3 pbc="T T T"
Ag 1.099 2.293 8.545
Ag 4.810 2.293 5.897
Ag 4.595 -2.293 3.731
Ag 8.307 -2.293 1.083
Os 6.451 1.695 2.407
Os 2.955 -1.695 7.221
Cl 2.955 3.409 7.221
Cl 4.254 2.453 3.137
Cl 5.928 1.818 0.097
Cl 8.648 2.453 1.676
Cl 1.492 0.202 7.067
Cl 6.974 1.818 4.717
Cl 4.988 -0.202 2.254
Cl 4.418 0.202 7.374
Cl 2.431 -1.818 4.911
Cl 7.914 -0.202 2.560
Cl 0.758 -2.453 7.951
Cl 3.478 -1.818 9.531
Cl 5.152 -2.453 6.490
Cl 6.451 -3.409 2.407
```

The energy relative to the elements, uncorrected is -0.273 eV/atom. The space group is C2/c, No. 15. Its spin magnetization is 1.63 μB per cell. The value obtained for the calculated volume is 30.03 Å³/atom.


Entry 16:
Computed, not measured: a relaxed structure of AgOs2Cl at the PBE level of DFT.

Structure (extended XYZ):
```
4
Lattice="2.718 0.000 0.000 0.000 2.718 0.000 0.000 0.000 8.578" Properties=species:S:1:pos:R:3 pbc="T T T"
Ag 0.000 0.000 0.000
Os 1.359 1.359 2.198
Os 1.359 1.359 6.380
Cl 0.000 0.000 4.289
```

The energy relative to the elements, uncorrected is 1.382 eV/atom. The space group is P4/mmm, No. 123. Its spin magnetization is 0.00 μB per cell. The value obtained for the calculated volume is 15.84 Å³/atom.


Entry 17:
Computed, not measured: a relaxed structure of AgOs2Cl at the PBE level of DFT.

Structure (extended XYZ):
```
4
Lattice="2.866 0.000 0.000 0.000 4.975 0.000 -0.218 0.000 4.634" Properties=species:S:1:pos:R:3 pbc="T T T"
Ag 0.000 0.000 0.000
Os 0.780 2.488 1.093
Os 1.868 2.488 3.541
Cl 1.324 0.000 2.317
```

The energy relative to the elements, uncorrected is 1.152 eV/atom. The space group is P2/m, No. 10. Its spin magnetization is 0.00 μB per cell. The value obtained for the calculated volume is 16.52 Å³/atom.


Entry 18:
Computed, not measured: a relaxed structure of Ag2OsCl6 at the PBE level of DFT.

Structure (extended XYZ):
```
18
Lattice="6.833 0.000 0.000 0.000 6.247 0.000 -6.834 0.000 10.829" Properties=species:S:1:pos:R:3 pbc="T T T"
Ag -0.001 6.246 2.016
Ag -3.418 3.124 7.431
Ag 0.000 0.000 8.813
Ag 3.417 3.123 3.398
Os 3.417 0.000 0.000
Os -0.001 3.123 5.415
Cl -4.436 1.325 9.186
Cl -1.018 1.798 3.771
Cl -1.955 4.450 5.412
Cl -5.372 4.920 10.827
Cl 1.015 4.440 3.763
Cl -2.402 4.930 9.178
Cl 2.401 1.316 1.651
Cl -1.016 1.807 7.066
Cl 5.371 1.327 0.002
Cl 1.954 1.797 5.417
Cl 1.017 4.448 7.058
Cl 4.434 4.922 1.643
```

The energy relative to the elements, uncorrected is -0.426 eV/atom. The space group is P2_1/c, No. 14. Its spin magnetization is 4.03 μB per cell. The value obtained for the calculated volume is 25.68 Å³/atom.


Entry 19:
Computed, not measured: a relaxed structure of Ag2OsCl at the PBE level of DFT.

Structure (extended XYZ):
```
8
Lattice="4.394 0.000 0.000 0.000 2.840 0.000 0.000 0.000 11.065" Properties=species:S:1:pos:R:3 pbc="T T T"
Ag 0.000 0.000 0.000
Ag 0.000 1.420 5.532
Ag 2.197 0.000 4.242
Ag 2.197 1.420 9.774
Os 0.000 0.000 8.131
Os 0.000 1.420 2.599
Cl 2.197 0.000 7.303
Cl 2.197 1.420 1.771
```

The energy relative to the elements, uncorrected is 0.668 eV/atom. The space group is Amm2, No. 38. Its spin magnetization is 0.00 μB per cell. The value obtained for the calculated volume is 17.26 Å³/atom.


Entry 20:
Computed, not measured: a relaxed structure of AgOs2Cl at the PBE level of DFT.

Structure (extended XYZ):
```
4
Lattice="4.581 0.000 0.000 0.000 4.581 0.000 0.000 0.000 2.961" Properties=species:S:1:pos:R:3 pbc="T T T"
Ag 0.000 0.000 0.000
Os 0.000 2.290 1.480
Os 2.290 0.000 1.480
Cl 2.290 2.290 0.000
```

The energy relative to the elements, uncorrected is 1.648 eV/atom. The space group is P4/mmm, No. 123. Its spin magnetization is 0.00 μB per cell. The value obtained for the calculated volume is 15.53 Å³/atom.